Entry from Alexandria: crystalline Cs2HfTlF6 at its relaxed geometry (PBE-GGA).

- Symmetry: R-3m, No. 166
- ΔE_f (raw): -2.917 eV/atom
- Energy: -108.84 eV/cell
- M_tot: 0.0 μB per formula unit

Cell: 7.347 7.347 11.088 Å, 70.65 70.65 60.00°
Fractional positions:
Cs 0.869 0.869 0.392
Cs 0.131 0.131 0.608
Cs 0.739 0.739 0.784
Cs 0.261 0.261 0.216
Hf 0.000 0.000 0.000
Hf 0.500 0.500 0.500
Tl 0.606 0.606 0.182
Tl 0.394 0.394 0.818
F 0.831 0.378 0.412
F 0.378 0.831 0.412
F 0.378 0.378 0.412
F 0.169 0.622 0.588
F 0.622 0.169 0.588
F 0.622 0.622 0.588
F 0.790 0.165 0.880
F 0.165 0.790 0.880
F 0.165 0.165 0.880
F 0.210 0.835 0.120
F 0.835 0.210 0.120
F 0.835 0.835 0.120